No. 1
K2Sb4Au5 (PBE, relaxed); DOS(E_F) = 3.53 states/eV/f.u.; E_form (uncorrected) = -0.19 eV/atom; uncorrected energy = -37.16 eV/cell; crystal system = orthorhombic
1.0
0.000 7.230 7.422
3.050 0.000 7.422
3.050 7.230 0.000
K Sb Au
2 4 5
Direct
0.143 0.143 0.857
0.857 0.857 0.143
0.230 0.529 0.471
0.471 0.770 0.230
0.529 0.230 0.770
0.770 0.471 0.529
0.000 0.000 0.500
0.250 0.250 0.250
0.500 0.500 0.000
0.500 0.500 0.500
0.750 0.750 0.750


No. 2
KSb2Au (PBE, relaxed); DOS(E_F) = 0.79 states/eV/f.u.; E_form (uncorrected) = -0.31 eV/atom; uncorrected energy = -13.87 eV/cell; crystal system = monoclinic
1.0
4.954 0.000 0.000
0.000 4.312 0.000
-1.857 0.000 6.219
K Sb Au
1 2 1
Direct
0.000 0.000 0.000
0.274 0.500 0.655
0.726 0.500 0.345
0.500 0.000 0.500


- Look up the DOS(E_F) of the first one.
  3.53 states/eV/f.u.